# TcMoPt2 (PBE, optimized geometry)
data_TcMoPt2
_chemical_formula_sum 'Tc1 Mo1 Pt2'
_cell_length_a 3.4050
_cell_length_b 3.4050
_cell_length_c 5.4047
_cell_angle_alpha 90.00
_cell_angle_beta 90.00
_cell_angle_gamma 90.00
_space_group_name_H-M_alt 'P 1'
_space_group_IT_number 1
loop_
_space_group_symop_operation_xyz
'x,y,z'
loop_
_atom_site_label
_atom_site_type_symbol
_atom_site_fract_x
_atom_site_fract_y
_atom_site_fract_z
Tc1 Tc 0.0000 0.0000 0.0000
Mo1 Mo 0.0000 0.0000 0.5000
Pt1 Pt 0.5000 0.5000 0.2492
Pt2 Pt 0.5000 0.5000 0.7508
# mass density = 15.48 g/cm3
# SG = P4/mmm (123)
# relative energy among the computed polymorphs = 309 meV per atom

=====

# HfTcNi4 (PBE, optimized geometry)
data_HfTcNi4
_chemical_formula_sum 'Hf1 Tc1 Ni4'
_cell_length_a 4.7892
_cell_length_b 4.7892
_cell_length_c 4.7892
_cell_angle_alpha 60.00
_cell_angle_beta 60.00
_cell_angle_gamma 60.00
_space_group_name_H-M_alt 'P 1'
_space_group_IT_number 1
loop_
_space_group_symop_operation_xyz
'x,y,z'
loop_
_atom_site_label
_atom_site_type_symbol
_atom_site_fract_x
_atom_site_fract_y
_atom_site_fract_z
Hf1 Hf 0.0000 0.0000 0.0000
Tc1 Tc 0.7500 0.7500 0.7500
Ni1 Ni 0.3754 0.3754 0.3754
Ni2 Ni 0.3754 0.3754 0.8739
Ni3 Ni 0.3754 0.8739 0.3754
Ni4 Ni 0.8739 0.3754 0.3754
# mass density = 10.93 g/cm3
# SG = F-43m (216)
# DFT total energy = -7.471 eV/atom

=====

# H3Pd8Pb2 (PBE, optimized geometry)
data_H3Pd8Pb2
_chemical_formula_sum 'H3 Pd8 Pb2'
_cell_length_a 7.3717
_cell_length_b 7.3717
_cell_length_c 4.5792
_cell_angle_alpha 107.19
_cell_angle_beta 107.19
_cell_angle_gamma 55.57
_space_group_name_H-M_alt 'P 1'
_space_group_IT_number 1
loop_
_space_group_symop_operation_xyz
'x,y,z'
loop_
_atom_site_label
_atom_site_type_symbol
_atom_site_fract_x
_atom_site_fract_y
_atom_site_fract_z
H1 H 0.0000 0.0000 0.0000
H2 H 0.3519 0.6481 0.5000
H3 H 0.6481 0.3519 0.5000
Pd1 Pd 0.1393 0.1393 0.3869
Pd2 Pd 0.1389 0.7185 0.1702
Pd3 Pd 0.2815 0.8611 0.8298
Pd4 Pd 0.4018 0.4018 0.6400
Pd5 Pd 0.5982 0.5982 0.3600
Pd6 Pd 0.7185 0.1389 0.1702
Pd7 Pd 0.8611 0.2815 0.8298
Pd8 Pd 0.8607 0.8607 0.6131
Pb1 Pb 0.2701 0.2701 0.0108
Pb2 Pb 0.7299 0.7299 0.9892
# mass density = 10.89 g/cm3
# SG = C2/m (12)
# DFT total energy = -4.615 eV/atom